First-principles (PBE) data for a relaxed structure of HoLuBeIn, as listed in Alexandria via LeMat-Bulk.

Cell lengths 5.046, 5.046, 5.046 Å; angles 60.00, 60.00, 60.00 degrees
Fractional coordinates of all 4 atoms:
Lu (0.750, 0.750, 0.750)
Be (0.000, 0.000, 0.000)
In (0.500, 0.500, 0.500)
Ho (0.250, 0.250, 0.250)

Summary:
E_form (eV per atom): -0.1110
Space-group type: F-43m (216)
VASP energy (eV for the cell shown): -16.0
Theoretical density (g/cm³): 8.48